Record 1
First-principles (PBE) data for SrZrIn2 after structural relaxation, as listed in Alexandria via LeMat-Bulk.

## Properties
The density of states at the Fermi level is 2.7 states/eV per cell. The space-group type is No. 10. The calculation puts the formation energy at -0.2700 eV/atom.

Unit cell a=3.3781 b=4.2682 c=7.4657 alpha=90.00 beta=90.10 gamma=90.00
Element x y z (fractional)
1 Sr 0.0000 0.0000 0.0000
2 Zr 0.0000 0.0000 0.5000
3 In 0.5002 0.5000 0.2898
4 In 0.4998 0.5000 0.7102


Record 2
First-principles (PBE) data for SrZrIn3 after structural relaxation, as listed in Alexandria via LeMat-Bulk.

## Properties
The density of states at the Fermi level is 6.2 states/eV per cell. The space-group type is No. 221. The calculation puts the formation energy at 0.0567 eV/atom. Its excess energy over the best structure of this formula in the dataset is 0 meV per atom.

Unit cell a=5.5773 b=5.5773 c=5.5773 alpha=90.00 beta=90.00 gamma=90.00
Element x y z (fractional)
1 Sr 0.0000 0.0000 0.0000
2 Zr 0.5000 0.5000 0.5000
3 In 0.0000 0.5000 0.5000
4 In 0.5000 0.0000 0.5000
5 In 0.5000 0.5000 0.0000


Record 3
First-principles (PBE) data for SrZrIn2 after structural relaxation, as listed in Alexandria via LeMat-Bulk.

## Properties
The density of states at the Fermi level is 3.2 states/eV per cell. The space-group type is No. 166. The calculation puts the formation energy at -0.0697 eV/atom.

Unit cell a=10.4664 b=10.4664 c=10.4664 alpha=19.59 beta=19.59 gamma=19.59
Element x y z (fractional)
1 Sr 0.0000 0.0000 0.0000
2 Zr 0.5000 0.5000 0.5000
3 In 0.2433 0.2433 0.2433
4 In 0.7567 0.7567 0.7567


Record 4
First-principles (PBE) data for SrZrIn2 after structural relaxation, as listed in Alexandria via LeMat-Bulk.

## Properties
The density of states at the Fermi level is 3.1 states/eV per cell. The space-group type is No. 69. The calculation puts the formation energy at -0.1024 eV/atom.

Unit cell a=5.6188 b=5.6094 c=4.9399 alpha=64.00 beta=63.80 gamma=52.20
Element x y z (fractional)
1 Sr 0.0000 0.0000 0.0000
2 Zr 0.5000 0.5000 0.5000
3 In 0.2500 0.2500 0.2500
4 In 0.7500 0.7500 0.7500


Record 5
First-principles (PBE) data for SrZrIn after structural relaxation, as listed in Alexandria via LeMat-Bulk.

## Properties
The density of states at the Fermi level is 6.6 states/eV per cell. The space-group type is No. 139. The calculation puts the formation energy at -0.1674 eV/atom. Its excess energy over the best structure of this formula in the dataset is 0 meV per atom.

Unit cell a=13.6475 b=13.6475 c=13.6475 alpha=164.17 beta=164.17 gamma=22.46
Element x y z (fractional)
1 Sr 0.0751 0.0751 0.0000
2 Sr 0.9249 0.9249 0.0000
3 Zr 0.2187 0.2187 0.0000
4 Zr 0.7813 0.7813 0.0000
5 In 0.3402 0.3402 0.0000
6 In 0.6597 0.6597 0.0000


Record 6
First-principles (PBE) data for SrZrIn2 after structural relaxation, as listed in Alexandria via LeMat-Bulk.

## Properties
The density of states at the Fermi level is 3.3 states/eV per cell. The space-group type is No. 8. The calculation puts the formation energy at -0.0621 eV/atom.

Unit cell a=6.2240 b=6.2240 c=5.7776 alpha=106.63 beta=106.63 gamma=30.30
Element x y z (fractional)
1 Sr 0.0000 0.0000 0.0000
2 Zr 0.7842 0.7842 0.3885
3 In 0.2465 0.2465 0.8609
4 In 0.5343 0.5343 0.5032


Record 7
First-principles (PBE) data for SrZrIn after structural relaxation, as listed in Alexandria via LeMat-Bulk.

## Properties
The density of states at the Fermi level is 2.7 states/eV per cell. The space-group type is No. 107. The calculation puts the formation energy at 0.0294 eV/atom. Its excess energy over the best structure of this formula in the dataset is 197 meV per atom.

Unit cell a=7.7561 b=7.7561 c=7.7561 alpha=154.49 beta=154.49 gamma=36.39
Element x y z (fractional)
1 Sr 0.0000 0.0000 0.0000
2 Zr 0.6943 0.6943 0.0000
3 In 0.3264 0.3264 0.0000


Record 8
First-principles (PBE) data for Sr2ZrIn2 after structural relaxation, as listed in Alexandria via LeMat-Bulk.

## Properties
The density of states at the Fermi level is 13.9 states/eV per cell. The space-group type is No. 127. The calculation puts the formation energy at -0.0593 eV/atom.

Unit cell a=7.8824 b=7.8824 c=5.2929 alpha=90.00 beta=90.00 gamma=90.00
Element x y z (fractional)
1 Sr 0.1725 0.3275 0.0000
2 Sr 0.3275 0.8275 0.0000
3 Sr 0.6725 0.1725 0.0000
4 Sr 0.8275 0.6725 0.0000
5 Zr 0.0000 0.0000 0.5000
6 Zr 0.5000 0.5000 0.5000
7 In 0.1377 0.6377 0.5000
8 In 0.3623 0.1377 0.5000
9 In 0.6377 0.8623 0.5000
10 In 0.8623 0.3623 0.5000


Record 9
First-principles (PBE) data for Sr3ZrIn after structural relaxation, as listed in Alexandria via LeMat-Bulk.

## Properties
The density of states at the Fermi level is 1.6 states/eV per cell. The space-group type is No. 221. The calculation puts the formation energy at 0.6452 eV/atom. Its excess energy over the best structure of this formula in the dataset is 0 meV per atom.

Unit cell a=6.2477 b=6.2477 c=6.2477 alpha=90.00 beta=90.00 gamma=90.00
Element x y z (fractional)
1 Sr 0.0000 0.0000 0.5000
2 Sr 0.0000 0.5000 0.0000
3 Sr 0.5000 0.0000 0.0000
4 Zr 0.5000 0.5000 0.5000
5 In 0.0000 0.0000 0.0000


Record 10
First-principles (PBE) data for SrZr3In after structural relaxation, as listed in Alexandria via LeMat-Bulk.

## Properties
The density of states at the Fermi level is 6.4 states/eV per cell. The space-group type is No. 221. The calculation puts the formation energy at 0.8526 eV/atom. Its excess energy over the best structure of this formula in the dataset is 0 meV per atom.

Unit cell a=5.4687 b=5.4687 c=5.4687 alpha=90.00 beta=90.00 gamma=90.00
Element x y z (fractional)
1 Sr 0.0000 0.0000 0.0000
2 Zr 0.0000 0.5000 0.5000
3 Zr 0.5000 0.0000 0.5000
4 Zr 0.5000 0.5000 0.0000
5 In 0.5000 0.5000 0.5000


Record 11
First-principles (PBE) data for SrZr3In after structural relaxation, as listed in Alexandria via LeMat-Bulk.

## Properties
The density of states at the Fermi level is 8.5 states/eV per cell. The space-group type is No. 221. The calculation puts the formation energy at 1.6581 eV/atom. Its excess energy over the best structure of this formula in the dataset is 806 meV per atom.

Unit cell a=5.1735 b=5.1735 c=5.1735 alpha=90.00 beta=90.00 gamma=90.00
Element x y z (fractional)
1 Sr 0.0000 0.0000 0.0000
2 Zr 0.0000 0.0000 0.5000
3 Zr 0.0000 0.5000 0.0000
4 Zr 0.5000 0.0000 0.0000
5 In 0.5000 0.5000 0.5000


Record 12
First-principles (PBE) data for SrZrIn after structural relaxation, as listed in Alexandria via LeMat-Bulk.

## Properties
The density of states at the Fermi level is 3.0 states/eV per cell. The space-group type is No. 156. The calculation puts the formation energy at 0.1470 eV/atom. Its excess energy over the best structure of this formula in the dataset is 314 meV per atom.

Unit cell a=5.2951 b=5.2951 c=3.6471 alpha=90.00 beta=90.00 gamma=120.00
Element x y z (fractional)
1 Sr 0.0000 0.0000 0.0000
2 Zr 0.6667 0.3333 0.5041
3 In 0.3333 0.6667 0.4938